(1)
Crystalline H4Pd2Rh at its relaxed geometry, computed with PBE-GGA.

Results
excess energy over the best structure of this formula in the dataset = 0.0 kJ/mol of atoms
theoretical density = 9.06 g cm⁻³
space group = C2/m (12)
crystal system = monoclinic

Cell lengths 2.9702, 4.5014, 5.2037 Å; angles 117.20, 106.58, 90.00 degrees
Closest atoms and distances in Å follow each position.
Positions (direct):
1 H 0.8545 0.1264 0.7089  1 Rh 1.79, 2 Pd 1.82
2 H 0.1455 0.8736 0.2911  1 Rh 1.79, 2 Pd 1.82
3 H 0.6015 0.2196 0.2030  1 Pd 1.78, 2 Rh 1.80
4 H 0.3985 0.7804 0.7970  1 Pd 1.78, 2 Rh 1.80
5 Pd 0.6663 0.6635 0.3326  3 H 1.78-1.82
6 Pd 0.3337 0.3365 0.6674  3 H 1.78-1.82
7 Rh 0.0000 0.0000 0.0000  6 H 1.79-1.80



(2)
Crystalline HPdRh2 at its relaxed geometry, computed with PBE-GGA.

Results
excess energy over the best structure of this formula in the dataset = 0.3 kJ/mol of atoms
theoretical density = 11.26 g cm⁻³
space group = R3m (160)
crystal system = trigonal

Cell lengths 2.7879, 2.7879, 7.0463 Å; angles 78.59, 78.59, 60.00 degrees
Closest atoms and distances in Å follow each position.
Positions (direct):
1 H 0.6670 0.6670 0.9991  6 Rh 1.98-1.99
2 Pd 0.5005 0.5005 0.4986  6 Rh 2.77-2.79, 6 Pd 2.79
3 Rh 0.0561 0.0561 0.8316  3 H 1.98
4 Rh 0.2764 0.2764 0.1707  3 H 1.99